No. 1
Entry from Alexandria via LeMat-Bulk: a PBEsol-optimized structure of CrSi4Ru (SCAN).

Results
total moment = 3.1 Bohr magnetons per cell
D(E_F) = 0.54 states/eV/atom
raw formation energy = 0.441 eV/atom
crystal system = cubic

Cell: 4.7618 4.7618 4.7618 Å, 60.00 60.00 60.00°
Fractional coordinates of all 6 atoms:
Cr  0.0000  0.0000  0.0000
Si  0.3749  0.3749  0.3749
Si  0.3749  0.3749  0.8753
Si  0.3749  0.8753  0.3749
Si  0.8753  0.3749  0.3749
Ru  0.7500  0.7500  0.7500


No. 2
Entry from Alexandria via LeMat-Bulk: a PBEsol-optimized structure of CrSn2Ru (SCAN).

Results
total moment = 3.8 Bohr magnetons per cell
VASP energy = -124.59 eV for the cell shown
D(E_F) = 0.80 states/eV/atom
crystal system = cubic

Cell: 4.5675 4.5675 4.5675 Å, 60.00 60.00 60.00°
Fractional coordinates of all 4 atoms:
Cr  0.0000  0.0000  0.0000
Sn  0.2500  0.2500  0.2500
Sn  0.7500  0.7500  0.7500
Ru  0.5000  0.5000  0.5000


The highest total moment belongs to which entry?
CrSn2Ru


What is the formula in the second record?
CrSn2Ru


Copy entry 1 word for word.
Entry from Alexandria via LeMat-Bulk: a PBEsol-optimized structure of CrSi4Ru (SCAN).

Results
total moment = 3.1 Bohr magnetons per cell
D(E_F) = 0.54 states/eV/atom
raw formation energy = 0.441 eV/atom
crystal system = cubic

Cell: 4.7618 4.7618 4.7618 Å, 60.00 60.00 60.00°
Fractional coordinates of all 6 atoms:
Cr  0.0000  0.0000  0.0000
Si  0.3749  0.3749  0.3749
Si  0.3749  0.3749  0.8753
Si  0.3749  0.8753  0.3749
Si  0.8753  0.3749  0.3749
Ru  0.7500  0.7500  0.7500